# ZnCd2Cu (SCAN, PBEsol geometry)
# Formation energy in eV per atom: 0.043
data_ZnCd2Cu
_chemical_formula_sum 'Zn1 Cd2 Cu1'
_cell_length_a 3.008
_cell_length_b 3.249
_cell_length_c 6.699
_cell_angle_alpha 90.00
_cell_angle_beta 90.00
_cell_angle_gamma 90.00
_symmetry_space_group_name_H-M 'P m m 2'
_symmetry_Int_Tables_number 25
_symmetry_space_group_name_Hall 'P 2 -2'
loop_
_atom_site_label
_atom_site_type_symbol
_atom_site_fract_x
_atom_site_fract_y
_atom_site_fract_z
Zn1 Zn 0.000 0.000 0.000
Cd1 Cd 0.000 0.000 0.576
Cd2 Cd 0.500 0.500 0.267
Cu1 Cu 0.500 0.500 0.826